No. 1
First-principles (PBE) data for a relaxed TbTlCu3S4 crystal, as listed in the Open Quantum Materials Database.

The calculation puts the energy above the most stable polymorph in this dataset at 0.188 eV/atom.

The space group is P-43m (No. 215) and the conventional cell measures 5.974, 5.974 and 5.974 Å, with angles of 90.00, 90.00 and 90.00 degrees. The asymmetric unit holds Tb at (0.000, 0.000, 0.000), Tl at (0.500, 0.500, 0.500), Cu at (0.000, 0.000, 0.500) and S at (0.242, 0.242, 0.758).



No. 2
First-principles (PBE) data for a relaxed TbTmCuS3 crystal, as listed in the Open Quantum Materials Database.

The value obtained for the total energy is -5.715 eV/atom.

The space group is Cmcm (No. 63) and the conventional cell measures 3.715, 12.488 and 10.248 Å, with angles of 90.00, 90.00 and 90.00 degrees. The asymmetric unit holds Tb at (0.000, 0.000, 0.000), Tm at (0.000, 0.230, 0.250), Cu at (0.000, 0.482, 0.750), S at (0.000, 0.099, 0.750) and S at (0.000, 0.354, 0.584).



No. 3
First-principles (PBE) data for a relaxed TlCuTcS3 crystal, as listed in the Open Quantum Materials Database.

The calculation puts the energy above the most stable polymorph in this dataset at 0.000 eV/atom.

The space group is P2_1/m (No. 11) and the conventional cell measures 7.619, 3.614 and 9.579 Å, with angles of 90.00, 112.99 and 90.00 degrees. The asymmetric unit holds Tl at (0.221, 0.250, 0.216), Cu at (0.425, 0.250, 0.888), Tc at (0.194, 0.750, 0.668), S at (0.036, 0.750, 0.389), S at (0.256, 0.750, 0.932) and S at (0.392, 0.250, 0.645).



No. 4
First-principles (PBE) data for a relaxed TlCuTcS3 crystal, as listed in the Open Quantum Materials Database.

The calculation puts the energy above the most stable polymorph in this dataset at 0.001 eV/atom.

The space group is Pnma (No. 62) and the conventional cell measures 13.956, 3.636 and 9.635 Å, with angles of 90.00, 90.00 and 90.00 degrees. The asymmetric unit holds Tl at (0.242, 0.250, 0.059), Cu at (0.015, 0.750, 0.099), Tc at (0.010, 0.250, 0.324), S at (0.073, 0.250, 0.563), S at (0.090, 0.750, 0.876) and S at (0.121, 0.750, 0.275).



No. 5
First-principles (PBE) data for a relaxed TlCuTcS3 crystal, as listed in the Open Quantum Materials Database.

The calculation puts the energy above the most stable polymorph in this dataset at 0.048 eV/atom.

The space group is Cmcm (No. 63) and the conventional cell measures 3.531, 14.369 and 9.339 Å, with angles of 90.00, 90.00 and 90.00 degrees. The asymmetric unit holds Tl at (0.000, 0.246, 0.250), Cu at (0.000, 0.039, 0.750), Tc at (0.000, 0.500, 0.000), S at (0.000, 0.117, 0.540) and S at (0.000, 0.437, 0.750).



No. 6
First-principles (PBE) data for a relaxed Cu3Te2S crystal, as listed in the Open Quantum Materials Database.

The value obtained for the total energy is -3.692 eV/atom.

The space group is Cmcm (No. 63) and the conventional cell measures 4.013, 7.207 and 18.087 Å, with angles of 90.00, 90.00 and 90.00 degrees. The asymmetric unit holds Cu at (0.000, 0.088, 0.250), Cu at (0.000, 0.137, 0.631), Te at (0.000, 0.469, 0.576) and S at (0.000, 0.242, 0.750).



No. 7
First-principles (PBE) data for a relaxed TlCu2TeS crystal, as listed in the Open Quantum Materials Database.

The value obtained for the total energy is -3.639 eV/atom.

The space group is I4mm (No. 107) and the conventional cell measures 3.847, 3.847 and 14.747 Å, with angles of 90.00, 90.00 and 90.00 degrees. The asymmetric unit holds Tl at (0.000, 0.000, 0.000), Cu at (0.000, 0.500, 0.213), Te at (0.000, 0.000, 0.337) and S at (0.000, 0.000, 0.623).



No. 8
First-principles (PBE) data for a relaxed TlCuTeS crystal, as listed in the Open Quantum Materials Database.

The value obtained for the total energy is -3.407 eV/atom.

The space group is P2_1/c (No. 14) and the conventional cell measures 7.015, 7.171 and 7.793 Å, with angles of 90.00, 92.69 and 90.00 degrees. The asymmetric unit holds Tl at (0.071, 0.033, 0.251), Cu at (0.435, 0.674, 0.444), Te at (0.367, 0.150, 0.771) and S at (0.135, 0.749, 0.498).